Y2CrW | GGA-PBE | optimized geometry

- ΔH_f (0 K) (eV/atom) = 0.81
- relative energy among the computed polymorphs (eV/atom) = 0.515
- E (eV/atom) = -8.062
- M_tot (Bohr magnetons per cell) = 9.744

Lattice parameters (Å, degrees): 3.2091 3.2091 29.6380 90.00 90.00 120.00
Space group R-3m (No. 166, hexagonal axes)
Unique sites:
Y: 0.0000 0.0000 0.2503 x6
Cr: 0.0000 0.0000 0.0000 x3
W: 0.0000 0.0000 0.5000 x3